The following is a DFT calculation (GGA-PBE) of Mg4Bi after structural relaxation.

- uncorrected energy (eV per atom) = -1.618
- space-group type = Pm-3m, No. 221
- energy above the most stable polymorph in this dataset (meV per atom) = 502

Cell: 5.5877 5.5877 5.5877 Å, 90.00 90.00 90.00°
Element x y z (fractional)
Mg1 0.0000 0.0000 0.0000
Mg2 0.0000 0.5000 0.5000
Mg3 0.5000 0.0000 0.5000
Mg4 0.5000 0.5000 0.0000
Bi1 0.5000 0.5000 0.5000

***

The following is a DFT calculation (GGA-PBE) of Mg3Bi after structural relaxation.

- uncorrected energy (eV per atom) = -2.207
- space-group type = Pmm2, No. 25

Cell: 3.3457 5.3940 5.6033 Å, 90.00 90.00 90.00°
Element x y z (fractional)
Mg1 0.0000 0.0000 0.0000
Mg2 0.0000 0.5000 0.3335
Mg3 0.5000 0.0000 0.4889
Bi1 0.5000 0.5000 0.8316

***

The following is a DFT calculation (GGA-PBE) of Mg15Bi after structural relaxation.

- uncorrected energy (eV per atom) = -1.755
- space-group type = P-6m2, No. 187

Cell: 6.4592 6.4592 10.3927 Å, 90.00 90.00 120.00°
Element x y z (fractional)
Mg1 0.0000 0.0000 0.0000
Mg2 0.0010 0.5005 0.5000
Mg3 0.0010 0.5005 0.0000
Mg4 0.3333 0.6667 0.2532
Mg5 0.3333 0.6667 0.7468
Mg6 0.3396 0.1698 0.2476
Mg7 0.3396 0.1698 0.7524
Mg8 0.4995 0.5005 0.0000
Mg9 0.4995 0.9990 0.0000
Mg10 0.4995 0.5005 0.5000
Mg11 0.4995 0.9990 0.5000
Mg12 0.8302 0.1698 0.2476
Mg13 0.8302 0.1698 0.7524
Mg14 0.8302 0.6604 0.2476
Mg15 0.8302 0.6604 0.7524
Bi1 0.0000 0.0000 0.5000

***

The following is a DFT calculation (GGA-PBE) of Mg3Bi after structural relaxation.

- uncorrected energy (eV per atom) = -2.167
- space-group type = Fm-3m, No. 225

Cell: 5.2605 5.2605 5.2605 Å, 60.00 60.00 60.00°
Element x y z (fractional)
Mg1 0.0000 0.0000 0.0000
Mg2 0.2500 0.2500 0.2500
Mg3 0.7500 0.7500 0.7500
Bi1 0.5000 0.5000 0.5000

***

The following is a DFT calculation (GGA-PBE) of Mg3Bi after structural relaxation.

- uncorrected energy (eV per atom) = -2.273
- space-group type = P4/mmm, No. 123

Cell: 4.6307 4.6307 4.6014 Å, 90.00 90.00 90.00°
Element x y z (fractional)
Mg1 0.0000 0.0000 0.0000
Mg2 0.0000 0.5000 0.5000
Mg3 0.5000 0.0000 0.5000
Bi1 0.5000 0.5000 0.0000

***

The following is a DFT calculation (GGA-PBE) of Mg7Bi after structural relaxation.

- uncorrected energy (eV per atom) = -1.914
- space-group type = P-6m2, No. 187
- energy above the most stable polymorph in this dataset (meV per atom) = 8

Cell: 6.5746 6.5746 5.1255 Å, 90.00 90.00 120.00°
Element x y z (fractional)
Mg1 0.0000 0.0000 0.0000
Mg2 0.3310 0.1655 0.5000
Mg3 0.5089 0.0177 0.0000
Mg4 0.5089 0.4911 0.0000
Mg5 0.8345 0.1655 0.5000
Mg6 0.8345 0.6690 0.5000
Mg7 0.9823 0.4911 0.0000
Bi1 0.3333 0.6667 0.5000

***

| no. | ΔE_f (eV per formula unit) | total magnetization (μB/f.u.) |
| --- | --- | --- |
| 1 | 2.17 | 0.00 |
| 2 | -0.16 | 0.00 |
| 3 | -0.28 | 0.00 |
| 4 | 0.00 | 0.00 |
| 5 | -0.43 | 0.00 |
| 6 | -0.27 | 0.00 |